This record from Alexandria via LeMat-Bulk describes a relaxed structure of KBeCr2. The functional is PBEsol.

Cell: 3.1345 4.8185 4.8185 Å, 90.00 90.00 90.00°
With the nearest neighbours (Å) after each atom.
Atoms (fractional coordinates):
Cr: 0.0000 0.0000 0.5000  4 K 2.87, 4 Be 2.87, 2 Cr 3.13
Cr: 0.0000 0.5000 0.0000  4 K 2.87, 4 Be 2.87, 2 Cr 3.13
K: 0.5000 0.5000 0.5000  8 Cr 2.87, 2 K 3.13
Be: 0.5000 0.0000 0.0000  8 Cr 2.87, 2 Be 3.13

Computed properties:
VASP energy ... -4.74 eV per atom
DOS(E_F) ... 2.1 states/eV/f.u.
Formation energy from the elements ... 1.663 eV per atom
Total magnetization ... 8.4 μB per cell
Space group ... P4/mmm



This record from Alexandria via LeMat-Bulk describes a relaxed structure of SrCo3C. The functional is PBEsol.

Cell: 3.9236 3.9236 3.9236 Å, 90.00 90.00 90.00°
With the nearest neighbours (Å) after each atom.
Atoms (fractional coordinates):
Sr: 0.5000 0.5000 0.5000  12 Co 2.77
C: 0.0000 0.0000 0.0000  6 Co 1.96
Co: 0.0000 0.5000 0.0000  2 C 1.96
Co: 0.0000 0.0000 0.5000  2 C 1.96
Co: 0.5000 0.0000 0.0000  2 C 1.96

Computed properties:
VASP energy ... -6.63 eV per atom
Energy above the lowest structure with this stoichiometry ... 0.000 eV/atom
DOS(E_F) ... 3.0 states/eV/f.u.
Formation energy from the elements ... 0.305 eV per atom
Total magnetization ... 1.0 μB per cell
Space group ... Pm-3m



This record from Alexandria via LeMat-Bulk describes a relaxed structure of ZrScSi. The functional is PBEsol.

Cell: 3.0062 3.0062 6.6495 Å, 103.06 103.06 90.00°
With the nearest neighbours (Å) after each atom.
Atoms (fractional coordinates):
Sc: 0.0213 0.0213 0.0427  4 Si 2.81, 4 Sc 3.01
Si: 0.6666 0.6666 0.3332  4 Sc 2.81, 4 Zr 2.81, 4 Si 3.01
Zr: 0.3120 0.3120 0.6241  4 Si 2.81, 4 Zr 3.01

Computed properties:
VASP energy ... -7.57 eV per atom
DOS(E_F) ... 3.8 states/eV/f.u.
ΔE_f (raw) ... -9.8 kcal/mol of atoms
Total magnetization ... 0.0 μB per cell
Space group ... I4mm



This record from Alexandria via LeMat-Bulk describes a relaxed structure of Cs2AlReBi. The functional is PBEsol.

Cell: 5.2588 5.9448 5.9448 Å, 90.00 90.00 90.00°
With the nearest neighbours (Å) after each atom.
Atoms (fractional coordinates):
Cs: 0.0000 0.0000 0.5000  2 Re 2.97
Cs: 0.0000 0.5000 0.0000  2 Re 2.97
Re: 0.0000 0.0000 0.0000  2 Bi 2.63
Bi: 0.5000 0.0000 0.0000  2 Re 2.63
Al: 0.5000 0.5000 0.5000  8 Cs 3.97, 4 Bi 4.20

Computed properties:
VASP energy ... -3.46 eV per atom
DOS(E_F) ... 6.0 states/eV/f.u.
Formation energy from the elements ... 1.259 eV per atom
Total magnetization ... 0.0 μB per cell
Space group ... P4/mmm



This record from Alexandria via LeMat-Bulk describes a relaxed structure of Ba3P6N8O6. The functional is PBEsol.

Cell: 6.3186 7.4081 7.4081 Å, 120.00 90.00 90.00°
With the nearest neighbours (Å) after each atom.
Atoms (fractional coordinates):
Ba: 0.6160 0.6667 0.3333  6 O 2.78-2.93, 4 N 2.89-3.00
Ba: 0.3840 0.3333 0.6667  6 O 2.78-2.93, 4 N 2.89-3.00
Ba: 0.5000 0.0000 0.0000  6 O 2.73
N: 0.0737 0.6667 0.3333  3 P 1.73
N: 0.9263 0.3333 0.6667  3 P 1.73
N: 0.9004 0.9768 0.3058  2 P 1.61
N: 0.9004 0.3290 0.0232  2 P 1.61
N: 0.9004 0.6942 0.6710  2 P 1.61
N: 0.0996 0.0232 0.6942  2 P 1.61
N: 0.0996 0.6710 0.9768  2 P 1.61
N: 0.0996 0.3058 0.3290  2 P 1.61
O: 0.3236 0.9248 0.2920  1 P 1.54
O: 0.3236 0.3672 0.0752  1 P 1.54
O: 0.3236 0.7080 0.6328  1 P 1.54
O: 0.6764 0.0752 0.7080  1 P 1.54
O: 0.6764 0.6328 0.9248  1 P 1.54
O: 0.6764 0.2920 0.3672  1 P 1.54
P: 0.1037 0.8245 0.2246  1 O 1.54, 2 N 1.61
P: 0.1037 0.4001 0.1755  1 O 1.54, 2 N 1.61
P: 0.1037 0.7754 0.5999  1 O 1.54, 2 N 1.61
P: 0.8963 0.1755 0.7754  1 O 1.54, 2 N 1.61
P: 0.8963 0.5999 0.8245  1 O 1.54, 2 N 1.61
P: 0.8963 0.2246 0.4001  1 O 1.54, 2 N 1.61

Computed properties:
VASP energy ... -7.82 eV per atom
DOS(E_F) ... 0.0 states/eV/f.u.
ΔE_f (raw) ... -39.0 kcal/mol of atoms
Total magnetization ... 0.0 μB per cell
Space group ... P-3



This record from Alexandria via LeMat-Bulk describes a relaxed structure of CaCrF6. The functional is PBEsol.

Cell: 5.3520 5.3520 5.6431 Å, 61.69 61.69 60.00°
With the nearest neighbours (Å) after each atom.
Atoms (fractional coordinates):
Cr: 0.0000 0.0000 0.0000  6 F 1.82
Ca: 0.5000 0.5000 0.5000  6 F 2.25
F: 0.1090 0.3338 0.7763  1 Cr 1.82
F: 0.7809 0.1090 0.7763  1 Cr 1.82
F: 0.6662 0.2191 0.2237  1 Cr 1.82
F: 0.2191 0.8910 0.2237  1 Cr 1.82
F: 0.8910 0.6662 0.2237  1 Cr 1.82
F: 0.3338 0.7809 0.7763  1 Cr 1.82

Computed properties:
VASP energy ... -6.02 eV per atom
DOS(E_F) ... 9.9 states/eV/f.u.
ΔE_f (raw) ... -69.8 kcal/mol of atoms
Total magnetization ... 2.0 μB per cell
Space group ... R-3